# 1
Below is ThTc2C3 after structural relaxation, with properties calculated at the PBE level.

Cell and atoms, written as POSCAR:
```
ThTc2C3
1.0
3.6550 -4.5776 0.0000
3.6550 4.5776 0.0000
0.0000 0.0000 5.2925
Th Tc C
2 4 6
Cartesian
3.6550 2.6914 3.9694
3.6550 -2.6914 1.3231
2.2271 0.0000 0.0000
2.2271 0.0000 2.6463
5.0830 0.0000 0.0000
5.0830 0.0000 2.6463
0.6893 0.6062 3.9694
0.6893 -0.6062 1.3231
3.6550 0.6190 1.3231
3.6550 -0.6190 3.9694
6.6208 0.6062 3.9694
6.6208 -0.6062 1.3231
```

Results
- ΔE_f: 0.124 eV per atom
- Space group: Cmcm

# 2
Below is ThTcC2 after structural relaxation, with properties calculated at the PBE level.

Cell and atoms, written as POSCAR:
```
ThTcC2
1.0
1.9299 1.1143 6.0524
-1.9299 1.1143 6.0524
0.0000 -2.2285 6.0524
Th Tc C
1 1 2
Cartesian
0.0000 0.0000 0.0000
0.0000 0.0000 9.0785
0.0000 0.0000 7.1843
0.0000 0.0000 10.9728
```

Results
- ΔE_f: 0.899 eV per atom
- Space group: R-3m
- Energy relative to the lowest polymorph listed for this composition: 95.2 kJ per mole of atoms

# 3
Below is Th2Tc3C4 after structural relaxation, with properties calculated at the PBE level.

Cell and atoms, written as POSCAR:
```
Th2Tc3C4
1.0
0.0000 4.2795 5.4622
2.9075 0.0000 5.4622
2.9075 4.2795 0.0000
Th Tc C
2 3 4
Cartesian
2.9075 4.2795 1.8189
2.9075 4.2795 9.1056
1.4538 2.1398 0.0000
1.4538 2.1398 5.4622
2.9075 4.2795 5.4622
2.9075 2.7545 4.0043
2.9075 2.7545 6.9202
2.9075 5.8045 4.0043
2.9075 5.8045 6.9202
```

Results
- ΔE_f: 0.415 eV per atom
- Space group: Fmmm

# 4
Below is ThTc3C after structural relaxation, with properties calculated at the PBE level.

Cell and atoms, written as POSCAR:
```
ThTc3C
1.0
4.2664 0.0000 0.0000
0.0000 4.2664 0.0000
0.0000 0.0000 4.2664
Th Tc C
1 3 1
Cartesian
0.0000 0.0000 0.0000
0.0000 2.1332 2.1332
2.1332 0.0000 2.1332
2.1332 2.1332 0.0000
2.1332 2.1332 2.1332
```

Results
- ΔE_f: -0.050 eV per atom
- Space group: Pm-3m
- Energy relative to the lowest polymorph listed for this composition: 0.0 kJ per mole of atoms

# 5
Below is Th3TcC3 after structural relaxation, with properties calculated at the PBE level.

Cell and atoms, written as POSCAR:
```
Th3TcC3
1.0
4.5061 -5.3471 0.0000
4.5061 5.3471 0.0000
0.0000 0.0000 5.3549
Th Tc C
6 2 6
Cartesian
4.5061 4.1497 4.0161
2.6095 1.3017 4.0161
2.6095 -1.3017 1.3387
6.4028 1.3017 4.0161
6.4028 -1.3017 1.3387
4.5061 -4.1497 1.3387
4.5061 2.0518 1.3387
4.5061 -2.0518 4.0161
4.5061 4.0578 1.3387
2.5939 1.3732 1.3387
2.5939 -1.3732 4.0161
6.4184 1.3732 1.3387
6.4184 -1.3732 4.0161
4.5061 -4.0578 4.0161
```

Results
- ΔE_f: -0.286 eV per atom
- Space group: Cmcm

# 6
Below is ThTc3C after structural relaxation, with properties calculated at the PBE level.

Cell and atoms, written as POSCAR:
```
ThTc3C
1.0
3.2137 -4.7538 0.0000
3.2137 4.7538 0.0000
0.0000 0.0000 5.4420
Th Tc C
2 6 2
Cartesian
3.2137 4.0597 4.0815
3.2137 -4.0597 1.3605
1.9014 2.7757 1.3605
4.5261 2.7757 1.3605
3.2137 0.0000 0.0000
3.2137 0.0000 2.7210
1.9014 -2.7757 4.0815
4.5261 -2.7757 4.0815
3.2137 1.5324 4.0815
3.2137 -1.5324 1.3605
```

Results
- ΔE_f: 0.353 eV per atom
- Space group: Cmcm
- Energy relative to the lowest polymorph listed for this composition: 38.9 kJ per mole of atoms